1.
{
  "formula": "PrGdH",
  "functional": "PBE-GGA",
  "state": "optimized geometry",
  "lattice": [[3.700, 0.000, 0.000], [-1.850, 3.204, 0.000], [0.000, 0.000, 5.867]],
  "species": ["H", "Gd", "Pr"],
  "fractional_positions": [[0.667, 0.333, 0.344], [0.333, 0.667, 0.571], [0.000, 0.000, 0.086]],
  "energy_ev_per_atom": -7.623,
  "magmom_total_mub_per_fu": 7.54
}

***

2.
{
  "formula": "PrGd3H",
  "functional": "PBE-GGA",
  "state": "optimized geometry",
  "lattice": [[-0.930, 1.860, -4.635], [4.318, -2.070, -1.697], [-2.510, -4.250, -1.202]],
  "species": ["Gd", "Gd", "Pr", "Gd", "H"],
  "fractional_positions": [[0.000, 0.500, 0.000], [0.000, 0.000, 0.500], [0.500, 0.500, 0.500], [0.500, 0.000, 0.000], [0.000, 0.000, 0.000]],
  "energy_ev_per_atom": -10.238,
  "magmom_total_mub_per_fu": 21.46
}

***

3.
{
  "formula": "PrGdH",
  "functional": "PBE-GGA",
  "state": "optimized geometry",
  "lattice": [[-3.469, -0.868, 0.114], [2.483, -2.571, -0.161], [0.483, -0.308, 12.348]],
  "species": ["Gd", "Pr", "Gd", "Pr", "H", "H"],
  "fractional_positions": [[0.333, 0.667, 0.500], [0.000, 0.000, 0.738], [0.000, 0.000, 0.000], [0.000, 0.000, 0.262], [0.333, 0.667, 0.890], [0.333, 0.667, 0.110]],
  "energy_ev_per_atom": -7.524,
  "magmom_total_mub_per_fu": 0.24
}

***

4.
{
  "formula": "Pr2GdH",
  "functional": "PBE-GGA",
  "state": "optimized geometry",
  "lattice": [[-1.634, -0.052, -3.048], [-3.030, -0.352, 1.630], [-0.848, 8.710, 0.306]],
  "species": ["Gd", "Pr", "Pr", "H"],
  "fractional_positions": [[0.500, 0.500, 0.500], [0.000, 0.000, 0.812], [0.000, 0.000, 0.188], [0.500, 0.500, 0.000]],
  "energy_ev_per_atom": -6.654,
  "magmom_total_mub_per_fu": 7.23
}